Entry from the Open Quantum Materials Database: a geometry-optimized SmGdY structure (GGA-PBE).

The total energy is -4.54 eV per atom.

The structure belongs to space group F-43m (No. 216); the cell edges are 7.780, 7.780 and 7.780 Å and the angles 90.00°, 90.00° and 90.00°. The asymmetric unit holds Sm at (0.000, 0.000, 0.000), Gd at (0.000, 0.000, 0.500) and Y at (0.250, 0.250, 0.750).